Compound: Li3GaCu3
Source: Alexandria
Functional: PBE
Structure: optimized geometry

Results
Spin magnetization   0.00 μB/cell
Space group   P6_3/m (176)
Final energy   -21.9 eV/f.u.
Calculated volume   184.9 Å³ per cell

a b c (Å): 4.3736 6.9865 6.9864
angles (deg): 120.00 90.00 90.00
Atoms (fractional coordinates):
1 Li 0.7500 0.9089 0.3740
2 Li 0.7500 0.4651 0.0912
3 Li 0.7500 0.6260 0.5349
4 Li 0.2500 0.0911 0.6260
5 Li 0.2500 0.5349 0.9088
6 Li 0.2500 0.3740 0.4651
7 Ga 0.7500 0.3333 0.6667
8 Ga 0.2500 0.6667 0.3333
9 Cu 0.7500 0.7644 0.9389
10 Cu 0.7500 0.1745 0.2356
11 Cu 0.7500 0.0611 0.8255
12 Cu 0.2500 0.2356 0.0611
13 Cu 0.2500 0.8255 0.7644
14 Cu 0.2500 0.9389 0.1745

---

Compound: CuTcMo2
Source: Alexandria
Functional: PBE
Structure: optimized geometry

Results
Spin magnetization   0.00 μB/cell
Space group   P4mm (99)
Final energy   -35.3 eV/f.u.
Polymorph energy (0 for the lowest one)   55 meV per atom
Calculated volume   58.7 Å³ per cell

a b c (Å): 3.2334 3.2334 5.6154
angles (deg): 90.00 90.00 90.00
Atoms (fractional coordinates):
1 Cu 0.5000 0.5000 0.7499
2 Mo 0.0000 0.0000 0.9816
3 Mo 0.5000 0.5000 0.2541
4 Tc 0.0000 0.0000 0.5143

---

Compound: Dy4TlZn3
Source: Alexandria
Functional: PBE
Structure: optimized geometry

Results
Spin magnetization   0.01 μB/cell
Space group   Pmm2 (25)
Final energy   -26.9 eV/f.u.
Polymorph energy (0 for the lowest one)   46 meV per atom
Calculated volume   196.8 Å³ per cell

a b c (Å): 3.7326 4.5846 11.5001
angles (deg): 90.00 90.00 90.00
Atoms (fractional coordinates):
1 Dy 0.5000 0.5000 0.3593
2 Dy 0.0000 0.5000 0.8371
3 Dy 0.0000 0.0000 0.1630
4 Dy 0.5000 0.0000 0.6482
5 Tl 0.5000 0.5000 0.0723
6 Zn 0.0000 0.5000 0.5708
7 Zn 0.0000 0.0000 0.4312
8 Zn 0.5000 0.0000 0.9181

---

Compound: BeCoAu2
Source: Alexandria
Functional: PBE
Structure: optimized geometry

Results
Spin magnetization   1.51 μB/cell
Space group   Immm (71)
Final energy   -16.8 eV/f.u.
Calculated volume   56.7 Å³ per cell

a b c (Å): 4.5660 4.5660 4.5660
angles (deg): 131.99 124.45 76.43
Each line ends with the local moment (μB).
Atoms (fractional coordinates):
1 Co 0.2500 0.7500 0.5000  1.55
2 Au 0.9709 0.9709 0.0000  0.00
3 Au 0.5291 0.5291 0.0000  0.00
4 Be 0.7500 0.2500 0.5000  -0.02

---

Compound: CoTc2
Source: Alexandria
Functional: PBE
Structure: optimized geometry

Results
Spin magnetization   0.00 μB/cell
Space group   P6_3/mmc (194)
Final energy   -27.7 eV/f.u.
Polymorph energy (0 for the lowest one)   31 meV per atom
Calculated volume   79.1 Å³ per cell

a b c (Å): 4.1696 4.1696 5.2550
angles (deg): 90.00 90.00 60.00
Atoms (fractional coordinates):
1 Co 0.6667 0.6667 0.2500
2 Co 0.3333 0.3333 0.7500
3 Tc 0.0000 0.0000 0.0000
4 Tc 0.0000 0.0000 0.5000
5 Tc 0.6667 0.6667 0.7500
6 Tc 0.3333 0.3333 0.2500

---

Compound: KLaZnSe3
Source: Alexandria
Functional: PBE
Structure: optimized geometry

Results
Spin magnetization   0.00 μB/cell
Space group   P2_1/m (11)
Final energy   -26.3 eV/f.u.
Calculated volume   385.6 Å³ per cell
Formation energy from raw total energies   -1.42 eV per atom

a b c (Å): 4.2955 9.3014 9.9648
angles (deg): 104.44 90.00 90.00
Atoms (fractional coordinates):
1 K 0.2500 0.1938 0.2237
2 K 0.7500 0.8062 0.7763
3 La 0.2500 0.6679 0.1521
4 La 0.7500 0.3321 0.8479
5 Zn 0.2500 0.0814 0.6048
6 Zn 0.7500 0.9186 0.3952
7 Se 0.7500 0.8948 0.1461
8 Se 0.2500 0.1052 0.8539
9 Se 0.2500 0.8089 0.4756
10 Se 0.7500 0.1911 0.5244
11 Se 0.7500 0.4467 0.1561
12 Se 0.2500 0.5533 0.8439